This record from Alexandria describes a relaxed structure of CeZnBr5. The functional is GGA-PBE.

Values from the calculation:
* raw formation energy: -1363 meV per atom
* crystal system: triclinic
* DOS at the Fermi energy: 8.4 states/eV/f.u.

Lattice parameters (Å, degrees): 7.598 7.598 10.820 108.16 110.07 93.77
Space group P-1 (No. 2)
One atom of each set of equivalent atoms:
Ce  0.000  0.000  0.000 x1
Ce  0.000  0.500  0.500 x1
Zn  0.389  0.139  0.750 x2
Br  0.084  0.336  0.249 x2
Br  0.235  0.854  0.544 x2
Br  0.262  0.827  0.173 x2
Br  0.309  0.192  0.956 x2
Br  0.348  0.410  0.671 x2


This record from Alexandria describes a relaxed structure of Cs3CdHg3. The functional is GGA-PBE.

Values from the calculation:
* crystal system: cubic
* DFT formation energy: 0.12 eV/atom
* DOS at the Fermi energy: 12.3 states/eV/f.u.

Lattice parameters (Å, degrees): 10.518 10.518 10.518 90.00 90.00 90.00
Space group Pm-3n (No. 223)
One atom of each set of equivalent atoms:
Cs  0.000  0.250  0.500 x6
Cd  0.000  0.000  0.000 x2
Hg  0.000  0.500  0.250 x6


This record from Alexandria describes a relaxed structure of Tl3SbSe. The functional is GGA-PBE.

Values from the calculation:
* raw formation energy: 271 meV per atom
* crystal system: cubic
* ΔE to the lowest computed polymorph: 465 meV/atom
* DOS at the Fermi energy: 3.3 states/eV/f.u.

Lattice parameters (Å, degrees): 5.726 5.726 5.726 90.00 90.00 90.00
Space group Pm-3m (No. 221)
One atom of each set of equivalent atoms:
Tl  0.000  0.000  0.500 x3
Sb  0.500  0.500  0.500 x1
Se  0.000  0.000  0.000 x1


This record from Alexandria describes a relaxed structure of Cs2VGa. The functional is GGA-PBE.

Values from the calculation:
* crystal system: cubic
* DFT formation energy: 1.47 eV/atom
* ΔE to the lowest computed polymorph: 750 meV/atom
* DOS at the Fermi energy: 13.1 states/eV/f.u.

Lattice parameters (Å, degrees): 8.797 8.797 8.797 90.00 90.00 90.00
Space group Fm-3m (No. 225)
One atom of each set of equivalent atoms:
Cs  0.250  0.250  0.250 x8
V  0.000  0.000  0.000 x4
Ga  0.000  0.000  0.500 x4


This record from Alexandria describes a relaxed structure of Nd3Hg2Pd4. The functional is GGA-PBE.

Values from the calculation:
* crystal system: monoclinic
* DFT formation energy: -0.65 eV/atom
* DOS at the Fermi energy: 4.6 states/eV/f.u.

Lattice parameters (Å, degrees): 10.037 4.496 9.279 90.00 91.67 90.00
Space group C2/m (No. 12)
One atom of each set of equivalent atoms:
Nd  0.000  0.000  0.000 x2
Nd  0.130  0.500  0.382 x4
Hg  0.171  0.500  0.778 x4
Pd  0.076  0.000  0.623 x4
Pd  0.207  0.500  0.083 x4


This record from Alexandria describes a relaxed structure of CeLu2Ir. The functional is GGA-PBE.

Values from the calculation:
* crystal system: trigonal
* DFT formation energy: -0.28 eV/atom
* ΔE to the lowest computed polymorph: 183 meV/atom
* DOS at the Fermi energy: 7.9 states/eV/f.u.

Lattice parameters (Å, degrees): 3.8155 3.8155 27.6618 90.00 90.00 120.00
Space group R-3m (No. 166, hexagonal axes)
One atom of each set of equivalent atoms:
Ce  0.0000  0.0000  0.0000 x3
Lu  0.0000  0.0000  0.2228 x6
Ir  0.0000  0.0000  0.5000 x3


This record from Alexandria describes a relaxed structure of ErPuCdPd. The functional is GGA-PBE.

Values from the calculation:
* crystal system: cubic
* DFT formation energy: -0.30 eV/atom
* DOS at the Fermi energy: 10.8 states/eV/f.u.

Lattice parameters (Å, degrees): 7.259 7.259 7.259 90.00 90.00 90.00
Space group F-43m (No. 216)
One atom of each set of equivalent atoms:
Er  0.000  0.000  0.000 x4
Pu  0.000  0.000  0.500 x4
Cd  0.250  0.250  0.750 x4
Pd  0.250  0.250  0.250 x4


This record from Alexandria describes a relaxed structure of PmSm2N3. The functional is GGA-PBE.

Values from the calculation:
* raw formation energy: -1466 meV per atom
* crystal system: orthorhombic
* DOS at the Fermi energy: 0.9 states/eV/f.u.

Lattice parameters (Å, degrees): 7.194 5.084 10.794 90.00 90.00 90.00
Space group Pnma (No. 62)
One atom of each set of equivalent atoms:
Pm  0.125  0.250  0.083 x4
Sm  0.125  0.250  0.417 x4
Sm  0.125  0.250  0.750 x4
N  0.124  0.750  0.416 x4
N  0.125  0.750  0.750 x4
N  0.127  0.750  0.084 x4


This record from Alexandria describes a relaxed structure of Rb5SI2Cl. The functional is GGA-PBE.

Values from the calculation:
* raw formation energy: -1385 meV per atom
* crystal system: orthorhombic
* DOS at the Fermi energy: 0.0 states/eV/f.u.

Lattice parameters (Å, degrees): 5.098 20.973 16.484 90.00 90.00 90.00
Space group Cmc2_1 (No. 36)
One atom of each set of equivalent atoms:
Rb  0.000  0.005  0.000 x4
Rb  0.000  0.123  0.219 x4
Rb  0.000  0.201  0.634 x4
Rb  0.000  0.238  0.875 x4
Rb  0.000  0.423  0.285 x4
S  0.000  0.274  0.250 x4
I  0.000  0.365  0.519 x4
I  0.000  0.415  0.890 x4
Cl  0.000  0.037  0.681 x4


This record from Alexandria describes a relaxed structure of Hf3NbZn3. The functional is GGA-PBE.

Values from the calculation:
* crystal system: orthorhombic
* DFT formation energy: 0.09 eV/atom
* DOS at the Fermi energy: 6.6 states/eV/f.u.

Lattice parameters (Å, degrees): 9.131 9.350 6.337 90.00 90.00 90.00
Space group Cmmm (No. 65)
One atom of each set of equivalent atoms:
Hf  0.000  0.000  0.246 x4
Hf  0.250  0.250  0.246 x8
Nb  0.207  0.500  0.500 x4
Zn  0.000  0.267  0.500 x4
Zn  0.000  0.319  0.000 x4
Zn  0.227  0.500  0.000 x4


This record from Alexandria describes a relaxed structure of PaPb2O3F3. The functional is GGA-PBE.

Values from the calculation:
* raw formation energy: -2610 meV per atom
* crystal system: hexagonal

Lattice parameters (Å, degrees): 6.5555 6.5555 3.4628 90.00 90.00 120.00
Space group P-62m (No. 189)
One atom of each set of equivalent atoms:
Pa  0.0000  0.0000  0.0000 x1
Pb  0.3333  0.6667  0.5000 x2
O  0.0000  0.2301  0.5000 x3
F  0.0000  0.6068  0.0000 x3


This record from Alexandria describes a relaxed structure of TcNi2Te. The functional is GGA-PBE.

Values from the calculation:
* raw formation energy: 359 meV per atom
* crystal system: orthorhombic
* DOS at the Fermi energy: 5.5 states/eV/f.u.

Lattice parameters (Å, degrees): 3.131 4.354 8.547 90.00 90.00 90.00
Space group Immm (No. 71)
One atom of each set of equivalent atoms:
Tc  0.000  0.000  0.000 x2
Ni  0.000  0.500  0.236 x4
Te  0.000  0.000  0.500 x2


This record from Alexandria describes a relaxed structure of Pm3PuSe6. The functional is GGA-PBE.

Values from the calculation:
* raw formation energy: -1703 meV per atom
* crystal system: monoclinic
* ΔE to the lowest computed polymorph: 43 meV/atom
* DOS at the Fermi energy: 11.5 states/eV/f.u.

Lattice parameters (Å, degrees): 6.959 7.747 12.795 90.00 122.95 90.00
Space group P2_1/c (No. 14)
One atom of each set of equivalent atoms:
Pm  0.000  0.000  0.000 x2
Pm  0.298  0.105  0.751 x4
Pu  0.500  0.000  0.500 x2
Se  0.092  0.063  0.252 x4
Se  0.257  0.682  0.084 x4
Se  0.416  0.183  0.084 x4


This record from Alexandria describes a relaxed structure of ReI2NF. The functional is GGA-PBE.

Values from the calculation:
* raw formation energy: 195 meV per atom
* crystal system: tetragonal
* ΔE to the lowest computed polymorph: 0 meV/atom
* DOS at the Fermi energy: 4.9 states/eV/f.u.

Lattice parameters (Å, degrees): 5.455 5.455 3.745 90.00 90.00 90.00
Space group P4/mmm (No. 123)
One atom of each set of equivalent atoms:
Re  0.000  0.000  0.000 x1
I  0.000  0.500  0.000 x2
N  0.000  0.000  0.500 x1
F  0.500  0.500  0.500 x1


This record from Alexandria describes a relaxed structure of LaZn5CdPd2. The functional is GGA-PBE.

Values from the calculation:
* crystal system: tetragonal
* DFT formation energy: -0.23 eV/atom
* DOS at the Fermi energy: 2.5 states/eV/f.u.

Lattice parameters (Å, degrees): 4.875 4.875 7.535 90.00 90.00 90.00
Space group P4/mmm (No. 123)
One atom of each set of equivalent atoms:
La  0.000  0.000  0.000 x1
Zn  0.000  0.500  0.283 x4
Zn  0.500  0.500  0.000 x1
Cd  0.000  0.000  0.500 x1
Pd  0.500  0.500  0.321 x2


This record from Alexandria describes a relaxed structure of YTm6Sc3. The functional is GGA-PBE.

Values from the calculation:
* crystal system: orthorhombic
* DFT formation energy: 0.17 eV/atom
* ΔE to the lowest computed polymorph: 47 meV/atom
* DOS at the Fermi energy: 13.7 states/eV/f.u.

Lattice parameters (Å, degrees): 10.355 18.383 6.086 90.00 90.00 90.00
Space group Cmc2_1 (No. 36)
One atom of each set of equivalent atoms:
Y  0.000  0.208  0.000 x4
Tm  0.000  0.046  0.316 x4
Tm  0.000  0.303  0.522 x4
Tm  0.168  0.460  0.662 x8
Tm  0.241  0.206  0.334 x8
Sc  0.000  0.387  0.076 x4
Sc  0.189  0.111  0.750 x8


This record from Alexandria describes a relaxed structure of NdSm2Ge2. The functional is GGA-PBE.

Values from the calculation:
* crystal system: monoclinic
* DFT formation energy: -0.64 eV/atom
* ΔE to the lowest computed polymorph: 91 meV/atom
* DOS at the Fermi energy: 3.7 states/eV/f.u.

Lattice parameters (Å, degrees): 12.608 4.499 10.648 90.00 117.05 90.00
Space group C2/m (No. 12)
One atom of each set of equivalent atoms:
Nd  0.216  0.000  0.351 x4
Sm  0.015  0.500  0.685 x4
Sm  0.183  0.500  0.086 x4
Ge  0.036  0.000  0.899 x4
Ge  0.114  0.000  0.563 x4


This record from Alexandria describes a relaxed structure of CrAg3Os. The functional is GGA-PBE.

Values from the calculation:
* crystal system: cubic
* DFT formation energy: 1.70 eV/atom
* ΔE to the lowest computed polymorph: 0 meV/atom
* DOS at the Fermi energy: 2.9 states/eV/f.u.

Lattice parameters (Å, degrees): 5.057 5.057 5.057 90.00 90.00 90.00
Space group Pm-3m (No. 221)
One atom of each set of equivalent atoms:
Cr  0.000  0.000  0.000 x1
Ag  0.000  0.500  0.500 x3
Os  0.500  0.500  0.500 x1


This record from Alexandria describes a relaxed structure of MgTaCl. The functional is GGA-PBE.

Values from the calculation:
* raw formation energy: 1253 meV per atom
* crystal system: cubic
* ΔE to the lowest computed polymorph: 1500 meV/atom
* DOS at the Fermi energy: 5.1 states/eV/f.u.

Lattice parameters (Å, degrees): 6.819 6.819 6.819 90.00 90.00 90.00
Space group F-43m (No. 216)
One atom of each set of equivalent atoms:
Mg  0.000  0.000  0.000 x4
Ta  0.250  0.250  0.250 x4
Cl  0.000  0.000  0.500 x4


This record from Alexandria describes a relaxed structure of GdScTiTl. The functional is GGA-PBE.

Values from the calculation:
* crystal system: cubic
* DFT formation energy: 0.01 eV/atom
* DOS at the Fermi energy: 4.0 states/eV/f.u.

Lattice parameters (Å, degrees): 7.288 7.288 7.288 90.00 90.00 90.00
Space group F-43m (No. 216)
One atom of each set of equivalent atoms:
Gd  0.000  0.000  0.000 x4
Sc  0.000  0.000  0.500 x4
Ti  0.250  0.250  0.750 x4
Tl  0.250  0.250  0.250 x4


This record from Alexandria describes a relaxed structure of PtICl. The functional is GGA-PBE.

Values from the calculation:
* raw formation energy: 76 meV per atom
* crystal system: trigonal
* ΔE to the lowest computed polymorph: 232 meV/atom
* DOS at the Fermi energy: 3.9 states/eV/f.u.

Lattice parameters (Å, degrees): 4.1191 4.1191 5.4321 90.00 90.00 120.00
Space group P3m1 (No. 156)
One atom of each set of equivalent atoms:
Pt  0.0000  0.0000  0.0000 x1
I  0.3333  0.6667  0.7735 x1
Cl  0.6667  0.3333  0.2534 x1


This record from Alexandria describes a relaxed structure of La2HfTl. The functional is GGA-PBE.

Values from the calculation:
* crystal system: cubic
* DFT formation energy: 0.10 eV/atom
* ΔE to the lowest computed polymorph: 0 meV/atom
* DOS at the Fermi energy: 4.6 states/eV/f.u.

Lattice parameters (Å, degrees): 7.852 7.852 7.852 90.00 90.00 90.00
Space group Fm-3m (No. 225)
One atom of each set of equivalent atoms:
La  0.250  0.250  0.250 x8
Hf  0.000  0.000  0.000 x4
Tl  0.000  0.000  0.500 x4


This record from Alexandria describes a relaxed structure of Sr2FeHAu. The functional is GGA-PBE.

Values from the calculation:
* crystal system: tetragonal
* ΔE to the lowest computed polymorph: 244 meV/atom
* DOS at the Fermi energy: 3.8 states/eV/f.u.

Lattice parameters (Å, degrees): 5.742 5.742 3.435 90.00 90.00 90.00
Space group P4/mmm (No. 123)
One atom of each set of equivalent atoms:
Sr  0.000  0.500  0.000 x2
Fe  0.000  0.000  0.000 x1
H  0.000  0.000  0.500 x1
Au  0.500  0.500  0.500 x1